Arrangement P

Density functional theory data (GGA-PBEsol) for crystalline KTcCl2 at its relaxed geometry.

Unit cell a=7.4658 b=7.4658 c=7.4658 alpha=152.37 beta=151.63 gamma=40.02
Last column: nearest neighbours and their distance in Å.
Sites, in units of the cell vectors:
1 K 0.0000 0.0000 0.0000  6 Cl 2.99-3.06
2 Tc 0.2461 0.7461 0.5000  6 Cl 2.63-2.77
3 Cl 0.6111 0.6111 0.0000  2 Tc 2.63
4 Cl 0.8228 0.3228 0.5000  4 Tc 2.77, 2 K 3.06

Mass density = 3774 kg/m3


Arrangement Q

Density functional theory data (GGA-PBEsol) for crystalline KTcCl2 at its relaxed geometry.

Unit cell a=4.9231 b=4.9231 c=3.4897 alpha=90.00 beta=90.00 gamma=90.00
Last column: nearest neighbours and their distance in Å.
Sites, in units of the cell vectors:
1 K 0.0000 0.0000 0.0000  8 Cl 3.02
2 Tc 0.5000 0.5000 0.5000  4 Cl 2.46
3 Cl 0.0000 0.5000 0.5000  2 Tc 2.46
4 Cl 0.5000 0.0000 0.5000  2 Tc 2.46

Mass density = 4084 kg/m3


The structure with the greatest stability is arrangement Q.


Arrangement P

Density functional theory data (GGA-PBEsol) for crystalline NiIr2Ru at its relaxed geometry.

Unit cell a=2.6772 b=2.6772 c=7.2631 alpha=90.00 beta=90.00 gamma=90.00
Last column: nearest neighbours and their distance in Å.
Sites, in units of the cell vectors:
1 Ni 0.0000 0.0000 0.0000  8 Ir 2.59, 4 Ni 2.68
2 Ir 0.5000 0.5000 0.2429  4 Ni 2.59, 4 Ru 2.66, 4 Ir 2.68
3 Ir 0.5000 0.5000 0.7571  4 Ni 2.59, 4 Ru 2.66, 4 Ir 2.68
4 Ru 0.0000 0.0000 0.5000  8 Ir 2.66, 4 Ru 2.68

Mass density = 17359 kg/m3


Arrangement Q

Density functional theory data (GGA-PBEsol) for crystalline NiIr2Ru at its relaxed geometry.

Unit cell a=2.6770 b=2.6770 c=7.2637 alpha=90.00 beta=90.00 gamma=90.00
Last column: nearest neighbours and their distance in Å.
Sites, in units of the cell vectors:
1 Ni 0.0000 0.0000 0.0000  4 Ru 2.56, 4 Ir 2.58, 4 Ni 2.68
2 Ir 0.0000 0.0000 0.4940  4 Ru 2.66, 8 Ir 2.68-2.70
3 Ir 0.5000 0.5000 0.7596  4 Ni 2.58, 8 Ir 2.68-2.70
4 Ru 0.5000 0.5000 0.2364  4 Ni 2.56, 4 Ir 2.66, 4 Ru 2.68

Mass density = 17360 kg/m3


The structure with the greatest stability is arrangement P.